No. 1
PBE-GGA NaSrZr2F, relaxed; E_tot = -3.383 eV/atom; formation energy without anion corrections = 1.011 eV/atom
1.0
5.031 0.000 0.000
0.000 5.031 0.000
0.000 0.000 6.848
Na Sr Zr F
1 1 2 1
Direct
0.000 0.000 0.000 Na
0.000 0.000 0.500 Sr
0.000 0.500 0.000 Zr
0.500 0.000 0.000 Zr
0.500 0.500 0.500 F

No. 2
PBE-GGA NaTaF2, relaxed; E_tot = -5.299 eV/atom; energy above the lowest structure with this stoichiometry = 7.05 kcal/mol of atoms; formation energy without anion corrections = -1.071 eV/atom
1.0
-2.715 2.715 4.210
2.715 -2.715 4.210
2.715 2.715 -4.210
Na Ta F
2 2 4
Direct
0.000 0.000 0.000 Na
0.750 0.250 0.500 Na
0.250 0.750 0.500 Ta
0.500 0.500 0.000 Ta
0.110 0.625 0.985 F
0.375 0.360 0.485 F
0.640 0.125 0.015 F
0.875 0.890 0.515 F

No. 3
PBE-GGA NaTaF, relaxed; E_tot = -6.397 eV/atom; energy above the lowest structure with this stoichiometry = 0.00 kcal/mol of atoms; formation energy without anion corrections = -1.382 eV/atom
1.0
2.434 -1.682 0.000
2.434 1.682 0.000
-0.565 0.000 11.449
Na Ta F
2 2 2
Direct
0.000 0.000 0.000 Na
0.692 0.692 0.749 Na
0.029 0.029 0.448 Ta
0.507 0.507 0.259 Ta
0.049 0.049 0.634 F
0.351 0.351 0.877 F

No. 4
PBE-GGA NaTaF, relaxed; E_tot = -6.064 eV/atom; energy above the lowest structure with this stoichiometry = 7.68 kcal/mol of atoms; formation energy without anion corrections = -1.049 eV/atom
1.0
2.549 -1.477 0.000
2.549 1.477 0.000
-1.679 0.000 6.479
Na Ta F
1 1 1
Direct
0.000 0.000 0.000 Na
0.512 0.512 0.540 Ta
0.407 0.407 0.223 F

No. 5
PBE-GGA Na3TaF6, relaxed; E_tot = -5.247 eV/atom; formation energy without anion corrections = -2.543 eV/atom
1.0
0.000 4.286 4.286
4.286 0.000 4.286
4.286 4.286 0.000
Na Ta F
3 1 6
Direct
0.000 0.000 0.000 Na
0.250 0.250 0.250 Na
0.750 0.750 0.750 Na
0.500 0.500 0.500 Ta
0.260 0.260 0.740 F
0.260 0.740 0.260 F
0.260 0.740 0.740 F
0.740 0.260 0.260 F
0.740 0.260 0.740 F
0.740 0.740 0.260 F

No. 6
PBE-GGA NaTaF, relaxed; E_tot = -6.372 eV/atom; energy above the lowest structure with this stoichiometry = 0.56 kcal/mol of atoms; formation energy without anion corrections = -1.358 eV/atom
1.0
2.908 0.000 0.000
-0.988 2.831 0.000
-0.994 -0.453 11.199
Na Ta F
2 2 2
Direct
0.000 0.000 0.000 Na
0.175 0.696 0.744 Na
0.547 0.177 0.483 Ta
0.971 0.649 0.295 Ta
0.411 0.635 0.125 F
0.591 0.347 0.875 F

No. 7
PBE-GGA NaTaF, relaxed; E_tot = -6.065 eV/atom; energy above the lowest structure with this stoichiometry = 7.63 kcal/mol of atoms; formation energy without anion corrections = -1.051 eV/atom
1.0
2.370 -1.585 0.000
2.370 1.585 0.000
-0.408 0.000 6.445
Na Ta F
1 1 1
Direct
0.000 0.000 0.000 Na
0.584 0.584 0.459 Ta
0.611 0.611 0.778 F

No. 8
PBE-GGA Na3TaF8, relaxed; E_tot = -5.646 eV/atom; formation energy without anion corrections = -3.081 eV/atom
1.0
5.866 -2.720 0.000
5.866 2.720 0.000
-5.842 0.000 9.710
Na Ta F
6 2 16
Direct
0.000 0.000 0.000 Na
0.000 0.000 0.500 Na
0.275 0.288 0.897 Na
0.288 0.275 0.397 Na
0.712 0.725 0.603 Na
0.725 0.712 0.103 Na
0.437 0.563 0.750 Ta
0.563 0.437 0.250 Ta
0.109 0.675 0.584 F
0.110 0.629 0.786 F
0.204 0.453 0.140 F
0.325 0.891 0.916 F
0.341 0.625 0.389 F
0.371 0.890 0.714 F
0.375 0.659 0.111 F
0.453 0.204 0.640 F
0.547 0.796 0.360 F
0.625 0.341 0.889 F
0.629 0.110 0.286 F
0.659 0.375 0.611 F
0.675 0.109 0.084 F
0.796 0.547 0.860 F
0.890 0.371 0.214 F
0.891 0.325 0.416 F